5
Lattice="-2.359 -1.392 -3.275 1.324 -3.990 0.742 -3.303 -0.606 2.636" Properties=species:S:1:pos:R:3 comment="Co4As (PBE, optimized geometry)" polymorph_energy_mev_per_atom=631.2 magmom_total_mub_per_cell=5.853 e_tot_ev_per_atom=-5.66 pbc="T T T"
Co -0.990 -2.298 1.689
Co -0.517 -2.691 -1.266
Co -2.831 -0.999 -0.319
Co 0.000 0.000 0.000
As -2.169 -2.994 0.052